Entry from the Alexandria database: RbAuI3 after structural relaxation (PBE).

space-group type = I-4m2
total moment = 0.00 μB per formula unit
ΔE_f (raw) = -0.48 eV per atom
V = 494.9 Å³ per cell
uncorrected energy = -0.083 Ha/atom

Unit cell a=6.229 b=6.229 c=13.495 alpha=76.66 beta=76.66 gamma=90.00
Sites, in units of the cell vectors:
I  0.166  0.910  0.179
I  0.090  0.834  0.821
I  0.090  0.345  0.821
I  0.655  0.910  0.179
I  0.255  0.255  0.490
I  0.745  0.745  0.510
Au  0.000  0.000  0.000
Au  0.250  0.750  0.500
Rb  0.659  0.159  0.681
Rb  0.841  0.341  0.319